(1)
A plane-wave DFT calculation with PBE-GGA was carried out for a geometry-optimized PaMnTcPd structure.

It has space group F-43m (No. 216), with a = 6.579 Å, b = 6.579 Å, c = 6.579 Å, α = 90.00°, β = 90.00° and γ = 90.00°. Symmetry generates all atoms from Pa at (0.000, 0.000, 0.000), Mn at (0.000, 0.000, 0.500), Tc at (0.250, 0.250, 0.750) and Pd at (0.250, 0.250, 0.250).

As for the energy: -8.665 eV per atom. Its size of the total moment is 16.820 Bohr magnetons per cell. As for the formation energy: -0.44 eV/f.u.

(2)
A plane-wave DFT calculation with PBE-GGA was carried out for a geometry-optimized ScGaPb3 structure.

It has space group Pm-3m (No. 221), with a = 5.613 Å, b = 5.613 Å, c = 5.613 Å, α = 90.00°, β = 90.00° and γ = 90.00°. Symmetry generates all atoms from Sc at (0.000, 0.000, 0.000), Ga at (0.500, 0.500, 0.500) and Pb at (0.000, 0.000, 0.500).

As for the energy: -3.759 eV per atom. Its size of the total moment is 0.000 Bohr magnetons per cell. Its energy above the most stable polymorph in this dataset is 0.000 eV/atom. As for the formation energy: 1.69 eV/f.u.

(3)
A plane-wave DFT calculation with PBE-GGA was carried out for a geometry-optimized AlTlAs2Br structure.

It has space group P4/mmm (No. 123), with a = 5.346 Å, b = 5.346 Å, c = 5.997 Å, α = 90.00°, β = 90.00° and γ = 90.00°. Symmetry generates all atoms from Al at (0.000, 0.000, 0.000), Tl at (0.500, 0.500, 0.500), As at (0.000, 0.500, 0.500) and Br at (0.500, 0.500, 0.000).

For the formation energy (no corrections), the calculation gives 0.7825 eV per atom. As for the energy: -2.634 eV per atom. Its size of the total moment is 1.288 Bohr magnetons per cell. Its energy above the most stable polymorph in this dataset is 0.713 eV/atom.

(4)
A plane-wave DFT calculation with PBE-GGA was carried out for a geometry-optimized Li2InW structure.

It has space group P4/mmm (No. 123), with a = 4.441 Å, b = 4.441 Å, c = 3.079 Å, α = 90.00°, β = 90.00° and γ = 90.00°. Symmetry generates all atoms from Li at (0.000, 0.500, 0.000), In at (0.000, 0.000, 0.500) and W at (0.500, 0.500, 0.500).

As for the energy: -4.324 eV per atom. Its size of the total moment is 0.000 Bohr magnetons per cell. As for the formation energy: 2.22 eV/f.u.

Per-record theoretical density, Mg/m³: 11.44, 6.91, 4.47, 8.55